1.
Material: CsTl2Cd
Method: DFT, GGA-PBE
State: relaxed

Results
DFT formation energy (eV/atom): -0.059
Energy above the lowest structure with this stoichiometry (meV per atom): 15

Unit cell a=5.104 b=7.386 c=8.332 alpha=90.00 beta=90.00 gamma=90.00
Positions (direct):
Cd: 0.500 0.000 0.839
Cd: 0.000 0.500 0.161
Tl: 0.000 0.247 0.857
Tl: 0.500 0.747 0.143
Tl: 0.000 0.753 0.857
Tl: 0.500 0.253 0.143
Cs: 0.500 0.500 0.586
Cs: 0.000 0.000 0.414

2.
Material: PmTh2Cu
Method: DFT, GGA-PBE
State: relaxed

Results
DFT formation energy (eV/atom): 0.019
Energy above the lowest structure with this stoichiometry (meV per atom): 0

Unit cell a=3.613 b=3.613 c=8.648 alpha=90.00 beta=90.00 gamma=90.00
Positions (direct):
Pm: 0.500 0.500 0.500
Th: 0.000 0.000 0.800
Th: 0.000 0.000 0.200
Cu: 0.500 0.500 0.000

3.
Material: Mg2ReW
Method: DFT, GGA-PBE
State: relaxed

Results
DFT formation energy (eV/atom): 0.370
Energy above the lowest structure with this stoichiometry (meV per atom): 190

Unit cell a=2.708 b=2.708 c=9.350 alpha=90.00 beta=90.00 gamma=105.36
Positions (direct):
Mg: 0.000 0.000 0.004
Mg: 0.000 0.000 0.496
W: 0.500 0.500 0.750
Re: 0.500 0.500 0.250

4.
Material: LiCa2Zn2
Method: DFT, GGA-PBE
State: relaxed

Results
DFT formation energy (eV/atom): -0.174
Energy above the lowest structure with this stoichiometry (meV per atom): 13

Unit cell a=7.741 b=7.741 c=4.308 alpha=90.00 beta=90.00 gamma=90.00
Positions (direct):
Li: 0.500 0.500 0.000
Li: 0.000 0.000 0.000
Ca: 0.826 0.326 0.500
Ca: 0.174 0.674 0.500
Ca: 0.326 0.174 0.500
Ca: 0.674 0.826 0.500
Zn: 0.621 0.121 0.000
Zn: 0.379 0.879 0.000
Zn: 0.879 0.621 0.000
Zn: 0.121 0.379 0.000

5.
Material: Be2ZnSi
Method: DFT, GGA-PBE
State: relaxed

Results
Energy above the lowest structure with this stoichiometry (meV per atom): 31
Uncorrected formation energy (meV per atom): 304

Unit cell a=4.649 b=4.649 c=4.525 alpha=75.40 beta=75.40 gamma=29.96
Positions (direct):
Be: 0.024 0.024 0.031
Be: 0.725 0.725 0.722
Si: 0.479 0.479 0.555
Zn: 0.272 0.272 0.192

6.
Material: HfIn3Ag
Method: DFT, GGA-PBE
State: relaxed

Results
DFT formation energy (eV/atom): 0.785
Energy above the lowest structure with this stoichiometry (meV per atom): 72

Unit cell a=5.576 b=5.576 c=5.576 alpha=90.00 beta=90.00 gamma=90.00
Positions (direct):
Ag: 0.500 0.500 0.500
Hf: 0.000 0.000 0.000
In: 0.000 0.500 0.000
In: 0.000 0.000 0.500
In: 0.500 0.000 0.000

Among the records above, which one has the lowest energy above the lowest structure with this stoichiometry?
PmTh2Cu

Among the records above, which one has the lowest energy above the lowest structure with this stoichiometry?
PmTh2Cu

Which of these has the lowest energy above the lowest structure with this stoichiometry?
PmTh2Cu